Here is an optimized crystal structure of LiTePt from Alexandria via LeMat-Bulk. Energies are from PBEsol.

Lattice parameters (Å, degrees): 3.640 3.640 7.855 90.00 90.00 90.00
Space group I4mm (No. 107)
Asymmetric unit:
Li1 0.000 0.000 0.000 x2
Te1 0.000 0.000 0.675 x2
Pt1 0.000 0.000 0.334 x2

ΔE to the lowest computed polymorph = 226 meV per atom
E_tot = -27.2 eV per cell
Total magnetic moment = 0.000 μB/f.u.
Formation energy from raw total energies = -387 meV/atom

***

Here is an optimized crystal structure of Li3TePt from Alexandria via LeMat-Bulk. Energies are from PBEsol.

Lattice parameters (Å, degrees): 4.646 4.646 4.646 90.00 90.00 90.00
Space group Pm-3m (No. 221)
Asymmetric unit:
Li1 0.000 0.000 0.500 x3
Te1 0.500 0.500 0.500 x1
Pt1 0.000 0.000 0.000 x1

E_tot = -17.3 eV per cell
Total magnetic moment = 0.001 μB/f.u.
Formation energy from raw total energies = -192 meV/atom